MgZr2AuC: optimized geometry, GGA-PBE.

ΔE_f, eV per atom: -0.371
Theoretical density, g/cm3: 7.8
Raw total energy, eV per atom: -6.6091
N(E_F), states/eV/f.u.: 5.413

Unit cell a=4.544 b=4.544 c=4.308 alpha=90.00 beta=90.00 gamma=90.00
Space group P4/mmm (No. 123)
Inequivalent atoms, fractional coordinates:
Mg 0.000 0.000 0.000 (multiplicity 1)
Zr 0.000 0.500 0.500 (multiplicity 2)
Au 0.500 0.500 0.000 (multiplicity 1)
C 0.000 0.000 0.500 (multiplicity 1)